A plane-wave DFT calculation with PBE-GGA was carried out for a relaxed structure of LiTb4Tl5.

abc: 3.604 3.604 20.174
angles: 90.00 90.00 90.00
Last column: magnetic moment on the atom in μB.
Positions (direct):
Li (0.000, 0.000, 0.000)  0.00
Tl (0.500, 0.500, 0.500)  0.00
Tb (0.000, 0.000, 0.185)  0.09
Tb (0.000, 0.000, 0.606)  -0.06
Tl (0.500, 0.500, 0.290)  0.00
Tb (0.000, 0.000, 0.815)  0.09
Tl (0.500, 0.500, 0.081)  0.00
Tl (0.500, 0.500, 0.919)  0.00
Tl (0.500, 0.500, 0.710)  0.00
Tb (0.000, 0.000, 0.394)  -0.06

Summary:
- Density: 10.55 g cm⁻³
- Symmetry: No. 123
- Formation energy from the elements: -0.337 eV per atom
- Magnetic moment: 0.1 μB/cell

A plane-wave DFT calculation with PBE-GGA was carried out for a relaxed structure of Li2TbTl2.

abc: 3.244 8.277 8.277
angles: 90.00 90.00 90.00
Last column: magnetic moment on the atom in μB.
Positions (direct):
Li (0.000, 0.616, 0.116)  0.00
Li (0.000, 0.384, 0.884)  0.00
Li (0.000, 0.884, 0.616)  0.00
Tb (0.000, 0.500, 0.500)  0.22
Tb (0.000, 0.000, 0.000)  0.22
Tl (0.500, 0.818, 0.318)  0.00
Tl (0.500, 0.682, 0.818)  0.00
Tl (0.500, 0.182, 0.682)  0.00
Tl (0.500, 0.318, 0.182)  0.00
Li (0.000, 0.116, 0.384)  0.00

Summary:
- Density: 8.69 g cm⁻³
- Symmetry: No. 127
- Formation energy from the elements: -0.221 eV per atom
- Magnetic moment: 0.6 μB/cell

A plane-wave DFT calculation with PBE-GGA was carried out for a relaxed structure of Li3Tb4Tl4.

abc: 3.428 9.618 10.359
angles: 117.66 99.52 90.00
Last column: magnetic moment on the atom in μB.
Positions (direct):
Tl (0.500, 0.203, 0.000)  0.00
Li (0.910, 0.910, 0.820)  0.00
Tb (0.666, 0.482, 0.333)  0.14
Li (0.000, 0.500, 0.000)  0.00
Tl (0.719, 0.219, 0.439)  0.01
Tl (0.281, 0.781, 0.561)  0.01
Li (0.090, 0.090, 0.180)  0.00
Tl (0.500, 0.797, 0.000)  0.00
Tb (0.334, 0.149, 0.667)  0.14
Tb (0.666, 0.851, 0.333)  0.14
Tb (0.334, 0.518, 0.667)  0.14

Summary:
- Density: 8.24 g cm⁻³
- Symmetry: No. 71
- Formation energy from the elements: -0.103 eV per atom
- Magnetic moment: 0.8 μB/cell

A plane-wave DFT calculation with PBE-GGA was carried out for a relaxed structure of LiTb2Tl3.

abc: 3.449 6.628 14.349
angles: 90.00 96.90 90.00
Last column: magnetic moment on the atom in μB.
Positions (direct):
Tb (0.161, 0.750, 0.322)  0.00
Tl (0.419, 0.492, 0.837)  0.00
Tl (0.760, 0.750, 0.521)  0.00
Tl (0.419, 0.008, 0.837)  0.00
Tl (0.581, 0.992, 0.163)  0.00
Li (0.659, 0.250, 0.319)  0.00
Tb (0.005, 0.250, 0.009)  0.06
Tl (0.581, 0.508, 0.163)  0.00
Tb (0.839, 0.250, 0.678)  0.00
Tl (0.240, 0.250, 0.479)  0.00
Li (0.341, 0.750, 0.681)  0.00
Tb (0.995, 0.750, 0.991)  0.06

Summary:
- Density: 9.56 g cm⁻³
- Symmetry: No. 63
- Formation energy from the elements: -0.186 eV per atom
- Magnetic moment: 0.1 μB/cell

A plane-wave DFT calculation with PBE-GGA was carried out for a relaxed structure of LiTb2Tl2.

abc: 4.743 6.114 10.130
angles: 90.17 76.46 67.18
Positions (direct):
Li (0.624, 0.100, 0.653)
Tl (0.061, 0.290, 0.587)
Tb (0.084, 0.745, 0.088)
Tb (0.916, 0.255, 0.912)
Tl (0.661, 0.810, 0.869)
Tl (0.939, 0.710, 0.413)
Tb (0.317, 0.709, 0.657)
Li (0.376, 0.900, 0.347)
Tb (0.683, 0.291, 0.343)
Tl (0.339, 0.190, 0.131)

Summary:
- Density: 9.31 g cm⁻³
- Symmetry: No. 12
- Formation energy from the elements: -0.281 eV per atom
- Magnetic moment: 0.0 μB/cell

A plane-wave DFT calculation with PBE-GGA was carried out for a relaxed structure of LiTb5Tl3.

abc: 6.661 9.322 9.322
angles: 120.00 90.00 90.00
Positions (direct):
Tl (0.250, 0.649, 0.649)
Tb (0.750, 0.693, 0.693)
Tb (0.250, 0.693, 0.000)
Tb (0.000, 0.667, 0.333)
Tb (0.500, 0.667, 0.333)
Tb (0.750, 0.307, 0.000)
Tb (0.750, 0.000, 0.307)
Li (0.000, 0.000, 0.000)
Tl (0.750, 0.351, 0.351)
Tb (0.500, 0.333, 0.667)
Tl (0.750, 0.649, 0.000)
Tl (0.250, 0.351, 0.000)
Li (0.500, 0.000, 0.000)
Tb (0.000, 0.333, 0.667)
Tl (0.250, 0.000, 0.351)
Tl (0.750, 0.000, 0.649)
Tb (0.250, 0.307, 0.307)
Tb (0.250, 0.000, 0.693)

Summary:
- Density: 9.37 g cm⁻³
- Symmetry: No. 193
- Formation energy from the elements: -0.276 eV per atom
- Magnetic moment: 0.0 μB/cell

A plane-wave DFT calculation with PBE-GGA was carried out for a relaxed structure of LiTb3Tl3.

abc: 4.627 6.169 14.489
angles: 83.84 80.81 67.98
Positions (direct):
Tb (0.263, 0.253, 0.222)
Tl (0.872, 0.184, 0.072)
Tb (0.594, 0.730, 0.083)
Tb (0.737, 0.747, 0.778)
Tb (0.465, 0.685, 0.385)
Tl (0.862, 0.722, 0.555)
Tl (0.975, 0.812, 0.239)
Li (0.760, 0.080, 0.399)
Tl (0.138, 0.278, 0.445)
Li (0.240, 0.920, 0.601)
Tl (0.025, 0.188, 0.761)
Tl (0.128, 0.816, 0.928)
Tb (0.535, 0.315, 0.615)
Tb (0.406, 0.270, 0.917)

Summary:
- Density: 9.64 g cm⁻³
- Symmetry: No. 12
- Formation energy from the elements: -0.290 eV per atom
- Magnetic moment: 0.0 μB/cell

A plane-wave DFT calculation with PBE-GGA was carried out for a relaxed structure of LiTb2Tl3.

abc: 5.250 5.250 13.027
angles: 90.00 90.00 120.00
Positions (direct):
Tl (0.333, 0.667, 0.910)
Tl (0.333, 0.667, 0.420)
Tb (0.667, 0.333, 0.823)
Tl (0.000, 0.000, 0.744)
Tb (0.333, 0.667, 0.177)
Tb (0.000, 0.000, 0.500)
Tl (0.667, 0.333, 0.090)
Li (0.333, 0.667, 0.659)
Tb (0.000, 0.000, 0.000)
Tl (0.667, 0.333, 0.580)
Li (0.667, 0.333, 0.341)
Tl (0.000, 0.000, 0.256)

Summary:
- Density: 10.02 g cm⁻³
- Symmetry: No. 164
- Formation energy from the elements: -0.324 eV per atom
- Magnetic moment: 0.0 μB/cell

A plane-wave DFT calculation with PBE-GGA was carried out for a relaxed structure of Li2Tb2Tl.

abc: 5.145 6.109 9.286
angles: 97.55 73.92 65.10
Positions (direct):
Tl (0.549, 0.189, 0.714)
Li (0.657, 0.821, 0.866)
Tb (0.107, 0.727, 0.059)
Tb (0.303, 0.739, 0.655)
Li (0.933, 0.709, 0.424)
Li (0.067, 0.291, 0.576)
Tb (0.697, 0.261, 0.345)
Tl (0.451, 0.811, 0.286)
Tb (0.893, 0.273, 0.941)
Li (0.343, 0.179, 0.134)

Summary:
- Density: 7.30 g cm⁻³
- Symmetry: No. 12
- Formation energy from the elements: -0.083 eV per atom
- Magnetic moment: 0.0 μB/cell

A plane-wave DFT calculation with PBE-GGA was carried out for a relaxed structure of LiTb6Tl5.

abc: 5.362 7.529 8.532
angles: 90.00 71.69 90.00
Positions (direct):
Tb (0.500, 0.746, 0.000)
Tl (0.667, 0.500, 0.667)
Tb (0.832, 0.754, 0.337)
Tb (0.500, 0.254, 0.000)
Tb (0.168, 0.754, 0.663)
Tl (0.655, 0.000, 0.689)
Tl (0.000, 0.500, 0.000)
Tl (0.345, 0.000, 0.311)
Tb (0.832, 0.246, 0.337)
Tb (0.168, 0.246, 0.663)
Li (0.000, 0.000, 0.000)
Tl (0.333, 0.500, 0.333)

Summary:
- Density: 10.07 g cm⁻³
- Symmetry: No. 65
- Formation energy from the elements: -0.317 eV per atom
- Magnetic moment: 0.0 μB/cell

A plane-wave DFT calculation with PBE-GGA was carried out for a relaxed structure of Li3Tb2Tl4.

abc: 6.473 8.018 8.729
angles: 90.00 111.76 90.00
Positions (direct):
Li (0.978, 0.250, 0.455)
Tl (0.326, 0.467, 0.651)
Li (0.478, 0.250, 0.455)
Tb (0.390, 0.082, 0.779)
Tb (0.110, 0.582, 0.221)
Tl (0.826, 0.033, 0.651)
Tl (0.199, 0.750, 0.897)
Li (0.022, 0.750, 0.545)
Tb (0.610, 0.918, 0.221)
Tl (0.699, 0.750, 0.897)
Tl (0.301, 0.250, 0.103)
Li (0.522, 0.750, 0.545)
Li (0.500, 0.500, 0.000)
Tl (0.674, 0.533, 0.349)
Tl (0.801, 0.250, 0.103)
Tl (0.174, 0.967, 0.349)
Li (0.000, 0.000, 0.000)
Tb (0.890, 0.418, 0.779)

Summary:
- Density: 9.13 g cm⁻³
- Symmetry: No. 64
- Formation energy from the elements: -0.250 eV per atom
- Magnetic moment: 0.0 μB/cell

A plane-wave DFT calculation with PBE-GGA was carried out for a relaxed structure of LiTb3Tl.

abc: 5.107 5.119 10.948
angles: 90.00 76.51 90.00
Last column: magnetic moment on the atom in μB.
Positions (direct):
Li (0.477, 0.750, 0.694)  0.00
Tb (0.380, 0.250, 0.888)  -0.01
Tb (0.763, 0.250, 0.123)  -0.01
Tl (0.666, 0.750, 0.315)  0.00
Tl (0.982, 0.250, 0.685)  0.00
Tb (0.268, 0.750, 0.112)  -0.01
Tb (0.886, 0.750, 0.877)  -0.01
Tb (0.573, 0.250, 0.503)  0.10
Tb (0.076, 0.750, 0.497)  0.10
Li (0.171, 0.250, 0.306)  0.00

Summary:
- Density: 8.21 g cm⁻³
- Symmetry: No. 63
- Formation energy from the elements: -0.139 eV per atom
- Magnetic moment: 0.2 μB/cell

A plane-wave DFT calculation with PBE-GGA was carried out for a relaxed structure of Li4TbTl5.

abc: 3.567 3.567 17.616
angles: 90.00 90.00 90.00
Last column: magnetic moment on the atom in μB.
Positions (direct):
Tl (0.500, 0.500, 0.693)  0.00
Li (0.000, 0.000, 0.212)  0.00
Tb (0.000, 0.000, 0.000)  0.17
Tl (0.500, 0.500, 0.307)  0.00
Li (0.000, 0.000, 0.598)  0.00
Tl (0.500, 0.500, 0.500)  0.00
Tl (0.500, 0.500, 0.880)  0.00
Li (0.000, 0.000, 0.788)  0.00
Tl (0.500, 0.500, 0.120)  0.00
Li (0.000, 0.000, 0.402)  0.00

Summary:
- Density: 8.95 g cm⁻³
- Symmetry: No. 123
- Formation energy from the elements: -0.246 eV per atom
- Magnetic moment: 0.2 μB/cell

A plane-wave DFT calculation with PBE-GGA was carried out for a relaxed structure of Li4TbTl2.

abc: 3.812 3.812 10.426
angles: 100.53 100.53 90.00
Positions (direct):
Tl (0.608, 0.608, 0.215)
Tl (0.392, 0.392, 0.785)
Li (0.152, 0.152, 0.303)
Li (0.848, 0.848, 0.697)
Li (0.750, 0.250, 0.500)
Li (0.250, 0.750, 0.500)
Tb (0.000, 0.000, 0.000)

Summary:
- Density: 6.76 g cm⁻³
- Symmetry: No. 139
- Formation energy from the elements: -0.094 eV per atom
- Magnetic moment: 0.0 μB/cell

A plane-wave DFT calculation with PBE-GGA was carried out for a relaxed structure of LiTb5Tl8.

abc: 7.965 7.965 7.965
angles: 108.94 110.54 108.94
Positions (direct):
Tb (0.500, 0.000, 0.500)
Tl (0.123, 0.747, 0.016)
Tl (0.153, 0.748, 0.569)
Tl (0.984, 0.106, 0.731)
Tb (0.973, 0.379, 0.118)
Tl (0.595, 0.417, 0.847)
Tb (0.882, 0.854, 0.261)
Tl (0.624, 0.894, 0.877)
Tl (0.821, 0.252, 0.405)
Tl (0.269, 0.253, 0.376)
Tb (0.739, 0.621, 0.594)
Tl (0.431, 0.583, 0.179)
Li (0.250, 0.500, 0.750)
Tb (0.406, 0.146, 0.027)

Summary:
- Density: 10.40 g cm⁻³
- Symmetry: No. 82
- Formation energy from the elements: -0.232 eV per atom
- Magnetic moment: 0.0 μB/cell

A plane-wave DFT calculation with PBE-GGA was carried out for a relaxed structure of Li4Tb4Tl7.

abc: 6.065 11.375 11.375
angles: 85.92 74.54 74.54
Positions (direct):
Tb (0.861, 0.277, 0.000)
Li (0.098, 0.803, 0.500)
Tl (0.500, 0.600, 0.400)
Tl (0.248, 0.000, 0.000)
Tl (0.100, 0.400, 0.400)
Li (0.402, 0.500, 0.197)
Li (0.098, 0.500, 0.803)
Tl (0.000, 0.291, 0.709)
Tb (0.311, 0.189, 0.189)
Tb (0.689, 0.811, 0.811)
Tl (0.709, 0.291, 0.291)
Tl (0.705, 0.591, 0.000)
Tl (0.500, 0.400, 0.600)
Li (0.598, 0.500, 0.803)
Li (0.902, 0.500, 0.197)
Tb (0.861, 0.000, 0.277)
Li (0.902, 0.197, 0.500)
Tl (0.705, 0.000, 0.591)
Tl (0.752, 0.000, 0.000)
Tl (0.291, 0.709, 0.709)
Li (0.402, 0.197, 0.500)
Tb (0.139, 0.723, 0.000)
Tl (0.295, 0.409, 0.000)
Tl (0.295, 0.000, 0.409)
Tl (0.000, 0.709, 0.291)
Tb (0.500, 0.811, 0.189)
Tb (0.500, 0.189, 0.811)
Tl (0.900, 0.600, 0.600)
Li (0.598, 0.803, 0.500)
Tb (0.139, 0.000, 0.723)

Summary:
- Density: 9.54 g cm⁻³
- Symmetry: No. 139
- Formation energy from the elements: -0.282 eV per atom
- Magnetic moment: 0.0 μB/cell

A plane-wave DFT calculation with PBE-GGA was carried out for a relaxed structure of LiTb3Tl2.

abc: 6.488 6.445 9.232
angles: 110.43 110.57 90.00
Positions (direct):
Tl (0.112, 0.370, 0.741)
Tb (0.408, 0.678, 0.355)
Tl (0.888, 0.630, 0.259)
Tl (0.371, 0.130, 0.259)
Tb (0.500, 0.250, 0.000)
Tb (0.500, 0.750, 0.000)
Tl (0.629, 0.870, 0.741)
Li (0.000, 0.250, 0.000)
Tb (0.592, 0.322, 0.645)
Tb (0.053, 0.822, 0.645)
Li (0.000, 0.750, 0.000)
Tb (0.947, 0.178, 0.355)

Summary:
- Density: 8.84 g cm⁻³
- Symmetry: No. 72
- Formation energy from the elements: -0.221 eV per atom
- Magnetic moment: 0.0 μB/cell

A plane-wave DFT calculation with PBE-GGA was carried out for a relaxed structure of LiTb4Tl3.

abc: 5.242 5.242 8.689
angles: 107.57 107.55 90.00
Positions (direct):
Tl (0.746, 0.246, 0.491)
Tl (0.000, 0.500, 0.000)
Tl (0.254, 0.754, 0.509)
Tb (0.625, 0.625, 0.249)
Li (0.500, 0.000, 0.000)
Tb (0.125, 0.125, 0.249)
Tb (0.875, 0.875, 0.751)
Tb (0.375, 0.375, 0.751)

Summary:
- Density: 9.66 g cm⁻³
- Symmetry: No. 139
- Formation energy from the elements: -0.285 eV per atom
- Magnetic moment: 0.0 μB/cell

A plane-wave DFT calculation with PBE-GGA was carried out for a relaxed structure of LiTb2Tl8.

abc: 4.844 4.844 12.508
angles: 90.00 90.00 90.00
Positions (direct):
Tl (0.000, 0.500, 0.500)
Tl (0.000, 0.500, 0.870)
Tl (0.000, 0.500, 0.130)
Li (0.000, 0.000, 0.000)
Tl (0.500, 0.000, 0.870)
Tb (0.000, 0.000, 0.314)
Tl (0.500, 0.500, 0.313)
Tl (0.500, 0.000, 0.130)
Tl (0.500, 0.000, 0.500)
Tl (0.500, 0.500, 0.687)
Tb (0.000, 0.000, 0.686)

Summary:
- Density: 11.09 g cm⁻³
- Symmetry: No. 123
- Formation energy from the elements: -0.194 eV per atom
- Magnetic moment: 0.0 μB/cell

A plane-wave DFT calculation with PBE-GGA was carried out for a relaxed structure of LiTb12Tl6.

abc: 8.142 8.142 8.142
angles: 89.27 89.27 89.27
Positions (direct):
Li (0.000, 0.000, 0.000)
Tb (0.119, 0.373, 0.066)
Tb (0.561, 0.193, 0.470)
Tb (0.881, 0.627, 0.934)
Tb (0.934, 0.881, 0.627)
Tl (0.256, 0.729, 0.877)
Tb (0.807, 0.530, 0.439)
Tl (0.744, 0.271, 0.123)
Tl (0.123, 0.744, 0.271)
Tb (0.470, 0.561, 0.193)
Tl (0.877, 0.256, 0.729)
Tb (0.373, 0.066, 0.119)
Tb (0.530, 0.439, 0.807)
Tl (0.271, 0.123, 0.744)
Tb (0.066, 0.119, 0.373)
Tb (0.627, 0.934, 0.881)
Tb (0.439, 0.807, 0.530)
Tb (0.193, 0.470, 0.561)
Tl (0.729, 0.877, 0.256)

Summary:
- Density: 9.66 g cm⁻³
- Symmetry: No. 148
- Formation energy from the elements: -0.120 eV per atom
- Magnetic moment: 0.0 μB/cell